Here is a relaxed PmHo2TcO8 crystal from Alexandria. Energies are from PBE.

Results
**DFT total energy**: -95.4 eV/f.u.
**E_form (uncorrected)**: -2.62 eV/atom

Lattice parameters (Å, degrees): 5.0597 5.0545 6.8066 90.00 90.00 89.90
Positions (direct):
O 0.8161 0.1849 0.2033
O 0.6852 0.6864 0.4999
O 0.1839 0.8151 0.7967
Ho 0.5001 0.5001 0.7491
O 0.3148 0.3136 0.5001
Pm 0.0000 0.0000 0.5000
Tc 0.0000 0.0000 0.0000
Ho 0.4999 0.4999 0.2509
O 0.7329 0.7335 0.0001
O 0.1840 0.8153 0.2033
O 0.8160 0.1847 0.7967
O 0.2671 0.2665 0.9999